# LiFeF3 (PBE+U, optimized geometry)
# space group: Pm-3m, No. 221
# energy: -4.76 eV per atom
# energy above the lowest structure with this stoichiometry: 522 meV per atom
# total magnetization: 4.1 Bohr magnetons per cell
data_LiFeF3
_space_group_name_H-M_alt 'P 1'
_space_group_IT_number 1
_cell_length_a 4.065
_cell_length_b 4.065
_cell_length_c 4.065
_cell_angle_alpha 90.00
_cell_angle_beta 90.00
_cell_angle_gamma 90.00
loop_
_space_group_symop_operation_xyz
'x,y,z'
loop_
_atom_site_label
_atom_site_fract_x
_atom_site_fract_y
_atom_site_fract_z
Li1 0.500 0.500 0.500
Fe1 0.000 0.000 0.000
F1 0.000 0.500 0.000
F2 0.000 0.000 0.500
F3 0.500 0.000 0.000